# 1
CsTa2TiGa | PBE-GGA | relaxed

- energy of formation (eV per atom) = 1.98
- total magnetic moment (μB per formula unit) = 0.0
- theoretical density (kg/m³) = 7338
- SG = No. 123

Cell lengths 4.917, 4.917, 5.732 Å; angles 90.00, 90.00, 90.00 degrees
Fractional positions:
Cs1 0.000 0.000 0.000
Ta1 0.000 0.500 0.500
Ta2 0.500 0.000 0.500
Ti1 0.500 0.500 0.000
Ga1 0.000 0.000 0.500

---

# 2
PrAl4Ni4 | PBE-GGA | relaxed

- energy of formation (eV per atom) = -0.49
- total magnetic moment (μB per formula unit) = 0.0
- theoretical density (kg/m³) = 5702
- SG = No. 137

Cell lengths 5.845, 5.845, 8.246 Å; angles 90.00, 90.00, 90.00 degrees
Fractional positions:
Pr1 0.250 0.750 0.250
Pr2 0.750 0.250 0.750
Al1 0.010 0.250 0.141
Al2 0.250 0.010 0.641
Al3 0.250 0.490 0.641
Al4 0.490 0.250 0.141
Al5 0.510 0.750 0.859
Al6 0.750 0.510 0.359
Al7 0.750 0.990 0.359
Al8 0.990 0.750 0.859
Ni1 0.046 0.250 0.441
Ni2 0.250 0.046 0.941
Ni3 0.250 0.454 0.941
Ni4 0.454 0.250 0.441
Ni5 0.546 0.750 0.559
Ni6 0.750 0.546 0.059
Ni7 0.750 0.954 0.059
Ni8 0.954 0.750 0.559

---

# 3
IrRhBr | PBE-GGA | relaxed

- total magnetic moment (μB per formula unit) = 0.7
- raw formation energy (eV per atom) = 0.709
- theoretical density (kg/m³) = 10589
- SG = No. 156
- energy above the most stable polymorph in this dataset (eV per atom) = 0.000

Cell lengths 3.765, 3.765, 4.790 Å; angles 90.00, 90.00, 120.00 degrees
Fractional positions:
Ir1 0.000 0.000 0.000
Rh1 0.667 0.333 0.241
Br1 0.333 0.667 0.662

---

# 4
Cs2ThUO6 | PBE-GGA | relaxed

- total magnetic moment (μB per formula unit) = 0.0
- raw formation energy (eV per atom) = -2.919
- theoretical density (kg/m³) = 7650
- SG = No. 225

Cell lengths 6.344, 6.344, 6.344 Å; angles 60.00, 60.00, 60.00 degrees
Fractional positions:
Cs1 0.250 0.250 0.250
Cs2 0.750 0.750 0.750
Th1 0.000 0.000 0.000
U1 0.500 0.500 0.500
O1 0.263 0.263 0.737
O2 0.263 0.737 0.263
O3 0.263 0.737 0.737
O4 0.737 0.263 0.263
O5 0.737 0.263 0.737
O6 0.737 0.737 0.263

---

# 5
DyCd3In | PBE-GGA | relaxed

- energy of formation (eV per atom) = -0.15
- total magnetic moment (μB per formula unit) = 0.0
- theoretical density (kg/m³) = 7960
- SG = No. 65
- energy above the most stable polymorph in this dataset (eV per atom) = 0.068

Cell lengths 15.973, 15.973, 3.334 Å; angles 90.00, 90.00, 162.46 degrees
Fractional positions:
Dy1 0.178 0.822 0.000
Dy2 0.822 0.178 0.000
Cd1 0.078 0.922 0.500
Cd2 0.272 0.728 0.500
Cd3 0.454 0.546 0.000
Cd4 0.546 0.454 0.000
Cd5 0.728 0.272 0.500
Cd6 0.922 0.078 0.500
In1 0.366 0.634 0.500
In2 0.634 0.366 0.500

---

# 6
Cd3RhN | PBE-GGA | relaxed

- total magnetic moment (μB per formula unit) = 2.7
- raw formation energy (eV per atom) = 1.157
- theoretical density (kg/m³) = 5304
- SG = No. 221
- energy above the most stable polymorph in this dataset (eV per atom) = 0.586

Cell lengths 5.219, 5.219, 5.219 Å; angles 90.00, 90.00, 90.00 degrees
Fractional positions:
Cd1 0.000 0.000 0.500
Cd2 0.000 0.500 0.000
Cd3 0.500 0.000 0.000
Rh1 0.000 0.000 0.000
N1 0.500 0.500 0.500

---

# 7
Li2CoNiAs2 | PBE-GGA | relaxed

- energy of formation (eV per atom) = -0.50
- total magnetic moment (μB per formula unit) = 1.1
- theoretical density (kg/m³) = 5311
- SG = No. 72

Cell lengths 7.170, 7.170, 7.170 Å; angles 136.08, 64.09, 135.78 degrees
Fractional positions:
Li1 0.164 0.244 0.408
Li2 0.336 0.744 0.081
Li3 0.664 0.256 0.919
Li4 0.836 0.756 0.592
Co1 0.250 0.750 0.500
Co2 0.750 0.250 0.500
Ni1 0.250 0.250 0.000
Ni2 0.750 0.750 0.000
As1 0.116 0.742 0.859
As2 0.384 0.242 0.626
As3 0.616 0.758 0.374
As4 0.884 0.258 0.141

---

# 8
HfNbC | PBE-GGA | relaxed

- energy of formation (eV per atom) = -0.39
- total magnetic moment (μB per formula unit) = 0.0
- theoretical density (kg/m³) = 10100
- SG = No. 51
- energy above the most stable polymorph in this dataset (eV per atom) = 0.162

Cell lengths 5.435, 3.249, 5.278 Å; angles 90.00, 90.00, 90.00 degrees
Fractional positions:
Hf1 0.250 0.000 0.182
Hf2 0.750 0.000 0.818
Nb1 0.250 0.500 0.694
Nb2 0.750 0.500 0.306
C1 0.000 0.500 0.000
C2 0.500 0.500 0.000

---

# 9
Cr3GaW | PBE-GGA | relaxed

- energy of formation (eV per atom) = 1.50
- total magnetic moment (μB per formula unit) = 7.8
- theoretical density (kg/m³) = 6612
- SG = No. 221
- energy above the most stable polymorph in this dataset (eV per atom) = 0.000

Cell lengths 4.685, 4.685, 4.685 Å; angles 90.00, 90.00, 90.00 degrees
Fractional positions:
Cr1 0.000 0.000 0.500
Cr2 0.000 0.500 0.000
Cr3 0.500 0.000 0.000
Ga1 0.500 0.500 0.500
W1 0.000 0.000 0.000

---

# 10
AcPrNd4S8 | PBE-GGA | relaxed

- total magnetic moment (μB per formula unit) = 0.0
- raw formation energy (eV per atom) = -1.913
- theoretical density (kg/m³) = 4703
- SG = No. 160

Cell lengths 8.440, 8.440, 8.440 Å; angles 59.90, 59.90, 59.90 degrees
Fractional positions:
Ac1 0.000 0.000 0.000
Pr1 0.623 0.623 0.623
Nd1 0.131 0.623 0.623
Nd2 0.250 0.250 0.250
Nd3 0.623 0.131 0.623
Nd4 0.623 0.623 0.131
S1 0.380 0.380 0.856
S2 0.380 0.856 0.380
S3 0.382 0.382 0.382
S4 0.412 0.864 0.864
S5 0.856 0.380 0.380
S6 0.863 0.863 0.863
S7 0.864 0.412 0.864
S8 0.864 0.864 0.412

---

# 11
GaAu | PBE-GGA | relaxed

- energy of formation (eV per atom) = 0.06
- total magnetic moment (μB per formula unit) = 0.0
- theoretical density (kg/m³) = 7021
- SG = No. 223

Cell lengths 7.233, 7.233, 7.233 Å; angles 90.00, 90.00, 90.00 degrees
Fractional positions:
Ga1 0.000 0.250 0.500
Ga2 0.000 0.750 0.500
Ga3 0.250 0.500 0.000
Ga4 0.500 0.000 0.250
Ga5 0.500 0.000 0.750
Ga6 0.750 0.500 0.000
Au1 0.000 0.500 0.250
Au2 0.000 0.500 0.750
Au3 0.250 0.000 0.500
Au4 0.500 0.250 0.000
Au5 0.500 0.750 0.000
Au6 0.750 0.000 0.500

---

# 12
K3Pm3YS8 | PBE-GGA | relaxed

- total magnetic moment (μB per formula unit) = 0.0
- raw formation energy (eV per atom) = -1.764
- theoretical density (kg/m³) = 3383
- SG = No. 166

Cell lengths 8.871, 8.871, 8.871 Å; angles 55.37, 55.37, 55.37 degrees
Fractional positions:
K1 0.000 0.500 0.500
K2 0.500 0.000 0.500
K3 0.500 0.500 0.000
Pm1 0.000 0.000 0.500
Pm2 0.000 0.500 0.000
Pm3 0.500 0.000 0.000
Y1 0.500 0.500 0.500
S1 0.235 0.235 0.235
S2 0.240 0.729 0.729
S3 0.271 0.271 0.760
S4 0.271 0.760 0.271
S5 0.729 0.240 0.729
S6 0.729 0.729 0.240
S7 0.760 0.271 0.271
S8 0.765 0.765 0.765